1.
Density functional theory data (PBE-GGA) for an optimized crystal structure of Pm5NdSm12.

a = 11.504 Å, b = 10.551 Å, c = 6.057 Å
α = 90.00°, β = 90.01°, γ = 56.96°
Positions (direct):
Pm: 0.500 0.000 0.500
Pm: 0.167 0.666 0.500
Pm: 0.833 0.334 0.500
Pm: 0.668 0.665 0.000
Pm: 0.332 0.335 0.000
Nd: 0.000 0.000 0.000
Sm: 0.823 0.000 0.451
Sm: 0.177 0.000 0.549
Sm: 0.675 0.000 0.951
Sm: 0.325 0.000 0.049
Sm: 0.344 0.667 0.949
Sm: 0.989 0.667 0.051
Sm: 0.011 0.333 0.949
Sm: 0.656 0.333 0.051
Sm: 0.510 0.333 0.551
Sm: 0.843 0.667 0.551
Sm: 0.157 0.333 0.449
Sm: 0.490 0.667 0.449

Properties
V = 34.238 A^3/atom
final energy = -4.628 eV/atom
ΔE_f = 1.846 eV/f.u.
Fermi-level density of states = 31.8 states/eV/f.u.

2.
Density functional theory data (PBE-GGA) for an optimized crystal structure of LaTaSiRh2.

a = 4.697 Å, b = 5.800 Å, c = 4.697 Å
α = 90.00°, β = 90.00°, γ = 90.00°
Positions (direct):
Si: 0.500 0.500 0.500
La: 0.000 0.500 0.000
Rh: 0.000 0.000 0.500
Rh: 0.500 0.000 0.000
Ta: 0.000 0.000 0.000

Properties
V = 25.591 A^3/atom
final energy = -6.574 eV/atom
formation energy without anion corrections = 807 meV per atom
Fermi-level density of states = 5.6 states/eV/f.u.

3.
Density functional theory data (PBE-GGA) for an optimized crystal structure of Tl2CrIn.

a = 3.305 Å, b = 3.347 Å, c = 9.675 Å
α = 69.41°, β = 90.00°, γ = 90.00°
Last column: magnetic moment on the atom in μB.
Positions (direct):
Cr: 0.000 0.491 0.510  3.62
In: 0.500 0.796 0.703  -0.02
Tl: 0.000 0.007 0.992  -0.01
Tl: 0.500 0.206 0.295  -0.01

Properties
V = 25.050 A^3/atom
final energy = -3.958 eV/atom
ΔE_f = 1.264 eV/f.u.
Fermi-level density of states = 2.3 states/eV/f.u.

4.
Density functional theory data (PBE-GGA) for an optimized crystal structure of ScAg2Pb.

a = 5.156 Å, b = 3.173 Å, c = 5.322 Å
α = 88.49°, β = 90.00°, γ = 90.00°
Last column: magnetic moment on the atom in μB.
Positions (direct):
Ag: 0.000 0.044 0.984  0.01
Ag: 0.000 0.456 0.516  0.01
Pb: 0.500 0.250 0.250  0.00
Sc: 0.500 0.750 0.750  0.29

Properties
V = 21.760 A^3/atom
final energy = -4.017 eV/atom
ΔE_f = -0.326 eV/f.u.
Fermi-level density of states = 2.3 states/eV/f.u.

5.
Density functional theory data (PBE-GGA) for an optimized crystal structure of Ta2CoNi.

a = 3.162 Å, b = 3.162 Å, c = 5.798 Å
α = 90.00°, β = 90.00°, γ = 90.00°
Last column: magnetic moment on the atom in μB.
Positions (direct):
Co: 0.000 0.000 0.504  0.23
Ni: 0.500 0.500 0.745  -0.02
Ta: 0.000 0.000 0.966  0.00
Ta: 0.500 0.500 0.286  -0.03

Properties
V = 14.495 A^3/atom
final energy = -9.334 eV/atom
ΔE_f = -0.742 eV/f.u.
Fermi-level density of states = 2.9 states/eV/f.u.

6.
Density functional theory data (PBE-GGA) for an optimized crystal structure of ReIr2Pt.

a = 3.932 Å, b = 2.737 Å, c = 6.161 Å
α = 63.59°, β = 90.00°, γ = 90.00°
Positions (direct):
Ir: 0.000 0.009 0.992
Ir: 0.500 0.255 0.245
Pt: 0.000 0.496 0.503
Re: 0.500 0.740 0.761

Properties
V = 14.846 A^3/atom
final energy = -9.102 eV/atom
ΔE_f = -0.198 eV/f.u.
Fermi-level density of states = 3.9 states/eV/f.u.

7.
Density functional theory data (PBE-GGA) for an optimized crystal structure of Be2Si2S.

a = 6.129 Å, b = 6.129 Å, c = 3.555 Å
α = 90.00°, β = 90.00°, γ = 90.00°
Positions (direct):
Be: 0.366 0.866 0.000
Be: 0.866 0.634 0.000
Be: 0.634 0.134 0.000
Be: 0.134 0.366 0.000
S: 0.000 0.000 0.000
S: 0.500 0.500 0.000
Si: 0.141 0.641 0.500
Si: 0.641 0.859 0.500
Si: 0.859 0.359 0.500
Si: 0.359 0.141 0.500

Properties
V = 13.356 A^3/atom
final energy = -4.010 eV/atom
formation energy without anion corrections = 475 meV per atom
Fermi-level density of states = 1.7 states/eV/f.u.

8.
Density functional theory data (PBE-GGA) for an optimized crystal structure of LiCaLu.

a = 3.541 Å, b = 3.541 Å, c = 8.527 Å
α = 90.00°, β = 90.00°, γ = 120.00°
Positions (direct):
Ca: 0.333 0.667 0.661
Lu: 0.000 0.000 0.017
Li: 0.667 0.333 0.323

Properties
V = 30.862 A^3/atom
final energy = -2.619 eV/atom
ΔE_f = 0.578 eV/f.u.
Fermi-level density of states = 3.9 states/eV/f.u.